1.
DFT (PBE-GGA) results for an optimized crystal structure of KReAg.

Cell: 4.979 4.979 4.979 Å, 60.00 60.00 60.00°
Element x y z (fractional)
K 0.000 0.000 0.000
Re 0.500 0.500 0.500
Ag 0.750 0.750 0.750

Calculated values
- raw total energy (eV/atom) = -3.543
- E_form (eV/atom) = 1.92
- offset from the most stable computed form (eV per formula unit) = 2.75

2.
DFT (PBE-GGA) results for an optimized crystal structure of KReAg2.

Cell: 2.772 2.772 10.666 Å, 90.00 90.00 108.51°
Element x y z (fractional)
K 0.000 0.000 0.000
Re 0.500 0.500 0.730
Ag 0.000 0.000 0.510
Ag 0.500 0.500 0.284

Calculated values
- raw total energy (eV/atom) = -4.040
- E_form (eV/atom) = 0.77
- offset from the most stable computed form (eV per formula unit) = 0.04

3.
DFT (PBE-GGA) results for an optimized crystal structure of KRe2Ag.

Cell: 6.039 6.039 2.598 Å, 90.00 90.00 127.29°
Element x y z (fractional)
K 0.000 0.000 0.000
Re 0.000 0.500 0.500
Re 0.500 0.000 0.500
Ag 0.500 0.500 0.000

Calculated values
- raw total energy (eV/atom) = -5.897
- E_form (eV/atom) = 1.31
- offset from the most stable computed form (eV per formula unit) = 2.64

4.
DFT (PBE-GGA) results for an optimized crystal structure of KRe2Ag.

Cell: 2.779 2.779 10.604 Å, 90.00 90.00 114.60°
Element x y z (fractional)
K 0.000 0.000 0.000
Re 0.000 0.000 0.479
Re 0.500 0.500 0.280
Ag 0.500 0.500 0.716

Calculated values
- raw total energy (eV/atom) = -6.451
- E_form (eV/atom) = 0.76
- offset from the most stable computed form (eV per formula unit) = 0.42

5.
DFT (PBE-GGA) results for an optimized crystal structure of KRe2Ag.

Cell: 3.063 3.063 9.015 Å, 90.00 90.00 90.00°
Element x y z (fractional)
K 0.000 0.000 0.000
Re 0.000 0.000 0.466
Re 0.500 0.500 0.320
Ag 0.500 0.500 0.694

Calculated values
- raw total energy (eV/atom) = -6.556
- E_form (eV/atom) = 0.66
- offset from the most stable computed form (eV per formula unit) = 0.00

6.
DFT (PBE-GGA) results for an optimized crystal structure of KReAg2.

Cell: 6.416 6.416 6.416 Å, 155.60 130.61 55.83°
Element x y z (fractional)
K 0.000 0.000 0.000
Re 0.282 0.782 0.500
Ag 0.501 0.501 0.000
Ag 0.731 0.231 0.500

Calculated values
- raw total energy (eV/atom) = -3.898
- E_form (eV/atom) = 0.91
- offset from the most stable computed form (eV per formula unit) = 0.61

7.
DFT (PBE-GGA) results for an optimized crystal structure of KRe2Ag.

Cell: 6.429 6.429 6.429 Å, 156.07 135.39 51.25°
Element x y z (fractional)
K 0.000 0.000 0.000
Re 0.278 0.778 0.500
Re 0.722 0.222 0.500
Ag 0.500 0.500 0.000

Calculated values
- raw total energy (eV/atom) = -6.211
- E_form (eV/atom) = 1.00
- offset from the most stable computed form (eV per formula unit) = 1.38

8.
DFT (PBE-GGA) results for an optimized crystal structure of KRe2Ag.

Cell: 3.773 3.773 5.375 Å, 90.00 90.00 90.00°
Element x y z (fractional)
K 0.000 0.000 0.000
Re 0.000 0.500 0.500
Re 0.500 0.000 0.500
Ag 0.500 0.500 0.000

Calculated values
- raw total energy (eV/atom) = -5.723
- E_form (eV/atom) = 1.49
- offset from the most stable computed form (eV per formula unit) = 3.33

9.
DFT (PBE-GGA) results for an optimized crystal structure of KRe2Ag.

Cell: 11.023 11.023 11.023 Å, 14.51 14.51 14.51°
Element x y z (fractional)
K 0.000 0.000 0.000
Re 0.241 0.241 0.241
Re 0.759 0.759 0.759
Ag 0.500 0.500 0.500

Calculated values
- raw total energy (eV/atom) = -6.092
- E_form (eV/atom) = 1.12
- offset from the most stable computed form (eV per formula unit) = 1.85

10.
DFT (PBE-GGA) results for an optimized crystal structure of KReAg4.

Cell: 5.625 5.625 5.625 Å, 60.00 60.00 60.00°
Element x y z (fractional)
K 0.000 0.000 0.000
Re 0.750 0.750 0.750
Ag 0.375 0.375 0.375
Ag 0.375 0.375 0.874
Ag 0.375 0.874 0.375
Ag 0.874 0.375 0.375

Calculated values
- raw total energy (eV/atom) = -3.297
- E_form (eV/atom) = 0.86

11.
DFT (PBE-GGA) results for an optimized crystal structure of KReAg.

Cell: 8.357 8.357 8.357 Å, 161.19 161.19 26.72°
Element x y z (fractional)
K 0.000 0.000 0.000
Re 0.676 0.676 0.000
Ag 0.314 0.314 0.000

Calculated values
- raw total energy (eV/atom) = -4.439
- E_form (eV/atom) = 1.03
- offset from the most stable computed form (eV per formula unit) = 0.06

12.
DFT (PBE-GGA) results for an optimized crystal structure of KRe2Ag.

Cell: 6.171 6.171 2.648 Å, 99.50 99.50 127.31°
Element x y z (fractional)
K 0.000 0.000 0.000
Re 0.000 0.500 0.500
Re 0.500 0.000 0.500
Ag 0.500 0.500 0.000

Calculated values
- raw total energy (eV/atom) = -5.987
- E_form (eV/atom) = 1.22
- offset from the most stable computed form (eV per formula unit) = 2.27

Among the records above, which one has the highest raw total energy?
KReAg4